No. 1
Computed, not measured: a geometry-optimized LiPr3 structure at the GGA-PBE level of DFT.

Lattice parameters (Å, degrees): 5.7093 5.7093 5.7093 60.00 60.00 60.00
With the nearest neighbours (Å) after each atom.
Atoms (fractional coordinates):
Pr1 0.0000 0.0000 0.0000  8 Pr 3.50
Pr2 0.7500 0.7500 0.7500  4 Li 3.50, 4 Pr 3.50
Pr3 0.2500 0.2500 0.2500  4 Li 3.50, 4 Pr 3.50
Li1 0.5000 0.5000 0.5000  8 Pr 3.50

Computed properties:
**DFT formation energy**: 0.184 eV/atom
**Size of the total moment**: 0.00 μB/cell
**ΔE to the lowest computed polymorph**: 44.7 kJ/mol of formula units



No. 2
Computed, not measured: a geometry-optimized LiPr5 structure at the GGA-PBE level of DFT.

Lattice parameters (Å, degrees): 3.8306 5.8620 9.4863 108.00 90.00 90.00
With the nearest neighbours (Å) after each atom.
Atoms (fractional coordinates):
Pr1 0.0000 0.6806 0.3612  12 Pr 3.57-3.86
Pr2 0.0000 0.3194 0.6388  12 Pr 3.57-3.86
Pr3 0.5000 0.5000 0.0000  4 Li 3.50, 10 Pr 3.78-3.90
Pr4 0.5000 0.1429 0.2859  2 Li 3.21, 4 Pr 3.57
Pr5 0.5000 0.8571 0.7141  2 Li 3.21, 4 Pr 3.57
Li1 0.0000 0.0000 0.0000  8 Pr 3.21-3.50

Computed properties:
**DFT formation energy**: 0.069 eV/atom
**Size of the total moment**: 0.00 μB/cell



No. 3
Computed, not measured: a geometry-optimized LiPr3 structure at the GGA-PBE level of DFT.

Lattice parameters (Å, degrees): 5.0637 5.0637 5.0637 90.00 90.00 90.00
With the nearest neighbours (Å) after each atom.
Atoms (fractional coordinates):
Li1 0.0000 0.0000 0.0000  12 Pr 3.58
Pr1 0.0000 0.5000 0.5000  4 Li 3.58, 8 Pr 3.58
Pr2 0.5000 0.5000 0.0000  8 Pr 3.58, 4 Li 3.58
Pr3 0.5000 0.0000 0.5000  8 Pr 3.58, 4 Li 3.58

Computed properties:
**DFT formation energy**: 0.147 eV/atom
**Size of the total moment**: 0.00 μB/cell
**ΔE to the lowest computed polymorph**: 30.5 kJ/mol of formula units



No. 4
Computed, not measured: a geometry-optimized Li6Pr structure at the GGA-PBE level of DFT.

Lattice parameters (Å, degrees): 6.0043 6.0043 6.0043 109.47 109.47 109.47
With the nearest neighbours (Å) after each atom.
Atoms (fractional coordinates):
Li1 0.2500 0.7500 0.5000  4 Li 2.45
Li2 0.5000 0.7500 0.2500  4 Li 2.45
Li3 0.2500 0.5000 0.7500  4 Li 2.45
Li4 0.7500 0.2500 0.5000  4 Li 2.45
Li5 0.5000 0.2500 0.7500  4 Li 2.45
Li6 0.7500 0.5000 0.2500  4 Li 2.45
Pr1 0.0000 0.0000 0.0000  24 Li 3.88

Computed properties:
**DFT formation energy**: 0.334 eV/atom
**Size of the total moment**: 0.00 μB/cell



No. 5
Computed, not measured: a geometry-optimized Li2Pr3Pt7 structure at the GGA-PBE level of DFT.

Lattice parameters (Å, degrees): 5.5097 5.5097 9.1291 72.44 72.44 60.00
With the nearest neighbours (Å) after each atom.
Atoms (fractional coordinates):
Li1 0.6653 0.6653 0.0041  6 Pt 2.57-2.60
Li2 0.3347 0.3347 0.9959  6 Pt 2.57-2.60
Pr1 0.0000 0.0000 0.0000  6 Li 3.18, 12 Pt 3.43
Pr2 0.8610 0.8610 0.4170  12 Pt 3.15-3.34, 3 Pr 3.48
Pr3 0.1390 0.1390 0.5830  12 Pt 3.15-3.34, 3 Pr 3.48
Pt1 0.5000 0.5000 0.5000  6 Pt 2.76
Pt2 0.9240 0.4188 0.2383  2 Li 2.57-2.60, 5 Pt 2.73-2.78
Pt3 0.4188 0.9240 0.2383  2 Li 2.57-2.60, 5 Pt 2.73-2.78
Pt4 0.4188 0.4188 0.2383  2 Li 2.57-2.60, 5 Pt 2.73-2.78
Pt5 0.0760 0.5812 0.7617  2 Li 2.57-2.60, 5 Pt 2.73-2.78
Pt6 0.5812 0.5812 0.7617  2 Li 2.57-2.60, 5 Pt 2.73-2.78
Pt7 0.5812 0.0760 0.7617  2 Li 2.57-2.60, 5 Pt 2.73-2.78

Computed properties:
**DFT formation energy**: -0.911 eV/atom
**Size of the total moment**: 0.00 μB/cell



No. 6
Computed, not measured: a geometry-optimized LiPr2Pt structure at the GGA-PBE level of DFT.

Lattice parameters (Å, degrees): 4.3006 4.3006 8.2941 74.97 74.97 60.00
With the nearest neighbours (Å) after each atom.
Atoms (fractional coordinates):
Li1 0.5026 0.5026 0.4923  6 Pr 3.42-3.53
Pr1 0.0638 0.0638 0.8086  3 Pt 2.93
Pr2 0.2685 0.2685 0.1945  3 Pt 2.90
Pt1 0.6651 0.6651 0.0046  6 Pr 2.90-2.93

Computed properties:
**DFT formation energy**: -0.433 eV/atom
**Size of the total moment**: 0.00 μB/cell



No. 7
Computed, not measured: a geometry-optimized LiPrPt2 structure at the GGA-PBE level of DFT.

Lattice parameters (Å, degrees): 4.3637 4.3637 5.4926 66.59 66.59 60.00
With the nearest neighbours (Å) after each atom.
Atoms (fractional coordinates):
Pr1 0.0000 0.0000 0.0000  8 Pt 3.06-3.14
Pt1 0.7855 0.7855 0.6434  3 Li 2.61, 3 Pt 2.88
Pt2 0.2145 0.2145 0.3566  3 Li 2.61, 3 Pt 2.88
Li1 0.5000 0.5000 0.5000  6 Pt 2.61

Computed properties:
**DFT formation energy**: -0.822 eV/atom
**Size of the total moment**: 0.00 μB/cell



No. 8
Computed, not measured: a geometry-optimized LiPr3Pt8 structure at the GGA-PBE level of DFT.

Lattice parameters (Å, degrees): 5.4863 5.4863 9.4854 73.19 73.19 60.00
With the nearest neighbours (Å) after each atom.
Atoms (fractional coordinates):
Li1 0.8658 0.8658 0.4027  6 Pt 2.97-3.18, 3 Pr 3.24
Pr1 0.3780 0.3780 0.8660  12 Pt 3.19-3.26, 4 Pr 3.46-3.48
Pr2 0.9913 0.9913 0.0260  12 Pt 3.09-3.45, 1 Li 3.37
Pr3 0.5068 0.5068 0.4795  12 Pt 3.07-3.30, 3 Li 3.24
Pt1 0.9407 0.4369 0.1855  6 Pt 2.72-2.76
Pt2 0.4386 0.9389 0.6837  6 Pt 2.74-2.75, 1 Li 2.97
Pt3 0.4369 0.4369 0.1855  6 Pt 2.72-2.76
Pt4 0.9389 0.9389 0.6837  6 Pt 2.74-2.75, 1 Li 2.97
Pt5 0.1889 0.1889 0.4334  6 Pt 2.72-2.74
Pt6 0.6884 0.6884 0.9347  6 Pt 2.75
Pt7 0.4369 0.9407 0.1855  6 Pt 2.72-2.76
Pt8 0.9389 0.4386 0.6837  6 Pt 2.74-2.75, 1 Li 2.97

Computed properties:
**DFT formation energy**: -0.957 eV/atom
**Size of the total moment**: 0.00 μB/cell



No. 9
Computed, not measured: a geometry-optimized LiPr2Pt2 structure at the GGA-PBE level of DFT.

Lattice parameters (Å, degrees): 5.8938 7.2418 7.4260 119.18 113.38 90.00
With the nearest neighbours (Å) after each atom.
Atoms (fractional coordinates):
Li1 0.7500 0.5000 0.0000  4 Pt 2.69, 2 Li 2.95
Li2 0.2500 0.5000 0.0000  4 Pt 2.69, 2 Li 2.95
Pr1 0.8583 0.6936 0.7166  5 Pt 2.93-3.02
Pr2 0.1417 0.3064 0.2834  5 Pt 2.93-3.02
Pr3 0.6417 0.9770 0.2834  5 Pt 2.93-3.02
Pr4 0.3583 0.0230 0.7166  5 Pt 2.93-3.02
Pt1 0.3887 0.6434 0.7774  2 Li 2.69, 3 Pr 2.93-2.99
Pt2 0.6113 0.3566 0.2226  2 Li 2.69, 3 Pr 2.93-2.99
Pt3 0.1113 0.8660 0.2226  2 Li 2.69, 3 Pr 2.93-2.99
Pt4 0.8887 0.1340 0.7774  2 Li 2.69, 3 Pr 2.93-2.99

Computed properties:
**DFT formation energy**: -0.835 eV/atom
**Size of the total moment**: 0.00 μB/cell
**ΔE to the lowest computed polymorph**: 22.4 kJ/mol of formula units



No. 10
Computed, not measured: a geometry-optimized LiPr2Pt structure at the GGA-PBE level of DFT.

Lattice parameters (Å, degrees): 4.3037 4.2961 7.2188 72.67 72.66 59.94
With the nearest neighbours (Å) after each atom.
Atoms (fractional coordinates):
Li1 0.1344 0.8970 0.8342  3 Pt 2.48
Pr1 0.8949 0.6577 0.5526  3 Pt 3.08, 3 Li 3.13
Pr2 0.7092 0.4733 0.1084  3 Li 3.10, 3 Pt 3.14-3.15
Pt1 0.4719 0.2340 0.8223  3 Li 2.48

Computed properties:
**DFT formation energy**: -0.471 eV/atom
**Size of the total moment**: 0.41 μB/cell



No. 11
Computed, not measured: a geometry-optimized LiPrPt2 structure at the GGA-PBE level of DFT.

Lattice parameters (Å, degrees): 4.3918 8.0707 8.8396 90.00 90.00 90.00
With the nearest neighbours (Å) after each atom.
Atoms (fractional coordinates):
Li1 0.2500 0.4287 0.0467  2 Li 2.61, 5 Pt 2.64-2.75
Li2 0.2500 0.9287 0.4533  2 Li 2.61, 5 Pt 2.64-2.75
Li3 0.7500 0.5713 0.9533  2 Li 2.61, 5 Pt 2.64-2.75
Li4 0.7500 0.0713 0.5467  2 Li 2.61, 5 Pt 2.64-2.75
Pr1 0.7500 0.9042 0.1650  8 Pt 3.01-3.12, 3 Li 3.27-3.37
Pr2 0.2500 0.0958 0.8350  8 Pt 3.01-3.12, 3 Li 3.27-3.37
Pr3 0.7500 0.4042 0.3350  8 Pt 3.01-3.12, 3 Li 3.27-3.37
Pr4 0.2500 0.5958 0.6650  8 Pt 3.01-3.12, 3 Li 3.27-3.37
Pt1 0.7500 0.8422 0.7769  2 Li 2.69-2.75, 3 Pt 2.74-2.93
Pt2 0.2500 0.1578 0.2231  2 Li 2.69-2.75, 3 Pt 2.74-2.93
Pt3 0.7500 0.3422 0.7231  2 Li 2.69-2.75, 3 Pt 2.74-2.93
Pt4 0.2500 0.6578 0.2769  2 Li 2.69-2.75, 3 Pt 2.74-2.93
Pt5 0.7500 0.7500 0.4790  3 Li 2.64-2.66, 3 Pt 2.74-2.93
Pt6 0.2500 0.7500 0.9790  3 Li 2.64-2.66, 3 Pt 2.74-2.93
Pt7 0.7500 0.2500 0.0210  3 Li 2.64-2.66, 3 Pt 2.74-2.93
Pt8 0.2500 0.2500 0.5210  3 Li 2.64-2.66, 3 Pt 2.74-2.93

Computed properties:
**DFT formation energy**: -0.860 eV/atom
**Size of the total moment**: 0.00 μB/cell



No. 12
Computed, not measured: a geometry-optimized LiPr4Pt2 structure at the GGA-PBE level of DFT.

Lattice parameters (Å, degrees): 7.2558 7.0956 9.0102 108.02 108.63 102.05
With the nearest neighbours (Å) after each atom.
Atoms (fractional coordinates):
Li1 0.3279 0.7158 0.5246  1 Pt 2.71
Li2 0.0580 0.9427 0.9754  1 Pt 2.71
Pr1 0.9646 0.1899 0.3071  3 Pt 3.05-3.10, 1 Li 3.32
Pr2 0.3961 0.4948 0.2050  3 Pt 2.91-3.13, 1 Li 3.07
Pr3 0.8483 0.5898 0.6053  3 Pt 2.98-3.04, 1 Li 3.12
Pr4 0.7249 0.1877 0.7681  4 Pt 2.97-3.19
Pr5 0.4418 0.0399 0.2960  3 Pt 2.91-3.12, 1 Li 3.07
Pr6 0.2069 0.1711 0.7318  4 Pt 2.96-3.18
Pr7 0.4935 0.7350 0.8952  3 Pt 2.99-3.04, 1 Li 3.11
Pr8 0.9066 0.6321 0.1917  3 Pt 3.05-3.09, 1 Li 3.31
Pt1 0.4237 0.3810 0.5669  1 Li 2.71, 3 Pr 2.92-2.98
Pt2 0.7773 0.9050 0.4525  7 Pr 2.91-3.13
Pt3 0.5736 0.2021 0.0475  7 Pr 2.91-3.12
Pt4 0.1066 0.5632 0.9329  1 Li 2.71, 4 Pr 2.92-3.04

Computed properties:
**DFT formation energy**: -0.630 eV/atom
**Size of the total moment**: 0.00 μB/cell